DFT (GGA-PBE) results for a relaxed Pr2Y5Tm3 crystal.

Properties
formation enthalpy at 0 K = 185 meV per atom
D(E_F) = 17.3 states/eV/f.u.
uncorrected energy = -5.344 eV per atom

Unit cell a=10.668 b=16.252 c=9.315 alpha=90.00 beta=124.85 gamma=90.00
Space group C2/c (No. 15)
Inequivalent atoms, fractional coordinates:
Pr1 0.141 0.124 0.043
Y1 0.000 0.231 0.250
Y2 0.000 0.274 0.750
Y3 0.000 0.472 0.750
Y4 0.237 0.384 0.229
Tm1 0.000 0.027 0.250
Tm2 0.156 0.380 0.549

---

DFT (GGA-PBE) results for a relaxed Pr2Y5Tm4 crystal.

Properties
formation enthalpy at 0 K = 164 meV per atom
D(E_F) = 17.7 states/eV/f.u.
uncorrected energy = -5.269 eV per atom

Unit cell a=16.570 b=6.668 c=6.668 alpha=90.00 beta=100.06 gamma=90.00
Space group C2/m (No. 12)
Inequivalent atoms, fractional coordinates:
Pr1 0.203 0.000 0.298
Y1 0.000 0.000 0.500
Y2 0.089 0.263 0.909
Tm1 0.087 0.500 0.405
Tm2 0.244 0.000 0.804

---

DFT (GGA-PBE) results for a relaxed Pr8Y2Tm3 crystal.

Properties
formation enthalpy at 0 K = 194 meV per atom
D(E_F) = 18.1 states/eV/f.u.
uncorrected energy = -4.774 eV per atom

Unit cell a=20.554 b=7.762 c=5.750 alpha=90.00 beta=90.03 gamma=90.00
Space group C2/m (No. 12)
Inequivalent atoms, fractional coordinates:
Pr1 0.104 0.203 0.000
Pr2 0.129 0.500 0.500
Pr3 0.173 0.000 0.501
Y1 0.239 0.500 0.999
Tm1 0.000 0.214 0.500
Tm2 0.000 0.500 0.000